# EuYNiAu | the Alexandria database | PBE | optimized geometry
data_EuYNiAu
_cell_length_a 7.139
_cell_length_b 7.139
_cell_length_c 7.139
_cell_angle_alpha 90.00
_cell_angle_beta 90.00
_cell_angle_gamma 90.00
_symmetry_space_group_name_H-M 'F -4 3 m'
_symmetry_Int_Tables_number 216
_symmetry_space_group_name_Hall 'F -4 2 3'
loop_
_atom_site_label
_atom_site_fract_x
_atom_site_fract_y
_atom_site_fract_z
Eu1 0.000 0.000 0.000
Y1 0.000 0.000 0.500
Ni1 0.250 0.250 0.750
Au1 0.250 0.250 0.250
# * VASP energy: -6.89 eV/atom
# * DOS at the Fermi energy: 9.4 states/eV/f.u.

***

# Eu2AuO | the Alexandria database | PBE | optimized geometry
data_Eu2AuO
_cell_length_a 3.299
_cell_length_b 3.299
_cell_length_c 7.436
_cell_angle_alpha 90.00
_cell_angle_beta 90.00
_cell_angle_gamma 90.00
_symmetry_space_group_name_H-M 'P 4/m m m'
_symmetry_Int_Tables_number 123
_symmetry_space_group_name_Hall '-P 4 2'
loop_
_atom_site_label
_atom_site_fract_x
_atom_site_fract_y
_atom_site_fract_z
Eu1 0.000 0.000 0.205
Au1 0.500 0.500 0.500
O1 0.500 0.500 0.000
# * formation energy without anion corrections: -1.36 eV per atom
# * VASP energy: -8.55 eV/atom
# * distance to the lowest polymorph of the same formula: 0 meV/atom
# * DOS at the Fermi energy: 1.7 states/eV/f.u.

***

# Eu2AuO | the Alexandria database | PBE | optimized geometry
data_Eu2AuO
_cell_length_a 3.6517
_cell_length_b 3.6517
_cell_length_c 25.8305
_cell_angle_alpha 90.00
_cell_angle_beta 90.00
_cell_angle_gamma 120.00
_symmetry_space_group_name_H-M 'R -3 m'
_symmetry_Int_Tables_number 166
_symmetry_space_group_name_Hall '-R 3 2"'
loop_
_atom_site_label
_atom_site_fract_x
_atom_site_fract_y
_atom_site_fract_z
Eu1 0.0000 0.0000 0.1125
Au1 0.0000 0.0000 0.0000
O1 0.0000 0.0000 0.5000
# * formation energy without anion corrections: -1.23 eV per atom
# * VASP energy: -8.43 eV/atom
# * distance to the lowest polymorph of the same formula: 121 meV/atom
# * DOS at the Fermi energy: 1.5 states/eV/f.u.

***

# Eu3AuO6 | the Alexandria database | PBE | optimized geometry
data_Eu3AuO6
_cell_length_a 3.740
_cell_length_b 5.665
_cell_length_c 7.230
_cell_angle_alpha 90.76
_cell_angle_beta 102.52
_cell_angle_gamma 90.74
_symmetry_space_group_name_H-M 'P -1'
_symmetry_Int_Tables_number 2
loop_
_symmetry_equiv_pos_as_xyz
'x,y,z'
'-x,-y,-z'
loop_
_atom_site_label
_atom_site_fract_x
_atom_site_fract_y
_atom_site_fract_z
Eu1 0.000 0.000 0.000
Eu2 0.388 0.474 0.730
Au1 0.000 0.000 0.500
O1 0.122 0.797 0.291
O2 0.162 0.303 0.392
O3 0.486 0.747 0.977
# * formation energy without anion corrections: -2.09 eV per atom
# * VASP energy: -8.48 eV/atom
# * DOS at the Fermi energy: 21.6 states/eV/f.u.

***

# EuPAu | the Alexandria database | PBE | optimized geometry
data_EuPAu
_cell_length_a 4.2984
_cell_length_b 4.2984
_cell_length_c 4.2064
_cell_angle_alpha 90.00
_cell_angle_beta 90.00
_cell_angle_gamma 120.00
_symmetry_space_group_name_H-M 'P -6 m 2'
_symmetry_Int_Tables_number 187
_symmetry_space_group_name_Hall 'P -6 2'
loop_
_atom_site_label
_atom_site_fract_x
_atom_site_fract_y
_atom_site_fract_z
Eu1 0.0000 0.0000 0.0000
P1 0.6667 0.3333 0.5000
Au1 0.3333 0.6667 0.5000
# * VASP energy: -7.23 eV/atom
# * DOS at the Fermi energy: 10.3 states/eV/f.u.

***

# Eu2PAu | the Alexandria database | PBE | optimized geometry
data_Eu2PAu
_cell_length_a 7.350
_cell_length_b 7.350
_cell_length_c 7.350
_cell_angle_alpha 90.00
_cell_angle_beta 90.00
_cell_angle_gamma 90.00
_symmetry_space_group_name_H-M 'F m -3 m'
_symmetry_Int_Tables_number 225
_symmetry_space_group_name_Hall '-F 4 2 3'
loop_
_atom_site_label
_atom_site_fract_x
_atom_site_fract_y
_atom_site_fract_z
Eu1 0.250 0.250 0.250
P1 0.000 0.000 0.000
Au1 0.000 0.000 0.500
# * VASP energy: -8.26 eV/atom
# * distance to the lowest polymorph of the same formula: 18 meV/atom
# * DOS at the Fermi energy: 14.4 states/eV/f.u.

***

# Eu2PAu | the Alexandria database | PBE | optimized geometry
data_Eu2PAu
_cell_length_a 3.658
_cell_length_b 3.658
_cell_length_c 7.337
_cell_angle_alpha 90.00
_cell_angle_beta 90.00
_cell_angle_gamma 90.00
_symmetry_space_group_name_H-M 'P 4/m m m'
_symmetry_Int_Tables_number 123
_symmetry_space_group_name_Hall '-P 4 2'
loop_
_atom_site_label
_atom_site_fract_x
_atom_site_fract_y
_atom_site_fract_z
Eu1 0.000 0.000 0.223
P1 0.500 0.500 0.000
Au1 0.500 0.500 0.500
# * VASP energy: -8.24 eV/atom
# * distance to the lowest polymorph of the same formula: 36 meV/atom
# * DOS at the Fermi energy: 7.7 states/eV/f.u.

***

# Eu2PAu | the Alexandria database | PBE | optimized geometry
data_Eu2PAu
_cell_length_a 4.3082
_cell_length_b 4.3082
_cell_length_c 21.4396
_cell_angle_alpha 90.00
_cell_angle_beta 90.00
_cell_angle_gamma 120.00
_symmetry_space_group_name_H-M 'R -3 m'
_symmetry_Int_Tables_number 166
_symmetry_space_group_name_Hall '-R 3 2"'
loop_
_atom_site_label
_atom_site_fract_x
_atom_site_fract_y
_atom_site_fract_z
Eu1 0.0000 0.0000 0.2400
P1 0.0000 0.0000 0.5000
Au1 0.0000 0.0000 0.0000
# * VASP energy: -8.28 eV/atom
# * distance to the lowest polymorph of the same formula: 0 meV/atom
# * DOS at the Fermi energy: 21.1 states/eV/f.u.

***

# EuPAu | the Alexandria database | PBE | optimized geometry
data_EuPAu
_cell_length_a 4.105
_cell_length_b 4.105
_cell_length_c 8.361
_cell_angle_alpha 90.00
_cell_angle_beta 90.00
_cell_angle_gamma 90.00
_symmetry_space_group_name_H-M 'I 4 m m'
_symmetry_Int_Tables_number 107
_symmetry_space_group_name_Hall 'I 4 -2'
loop_
_atom_site_label
_atom_site_fract_x
_atom_site_fract_y
_atom_site_fract_z
Eu1 0.000 0.000 0.000
P1 0.000 0.000 0.352
Au1 0.000 0.000 0.646
# * VASP energy: -6.80 eV/atom
# * DOS at the Fermi energy: 4.0 states/eV/f.u.

***

# EuPAu | the Alexandria database | PBE | optimized geometry
data_EuPAu
_cell_length_a 4.3285
_cell_length_b 4.3285
_cell_length_c 8.2745
_cell_angle_alpha 90.00
_cell_angle_beta 90.00
_cell_angle_gamma 120.00
_symmetry_space_group_name_H-M 'P 63/m m c'
_symmetry_Int_Tables_number 194
_symmetry_space_group_name_Hall '-P 6c 2c'
loop_
_atom_site_label
_atom_site_fract_x
_atom_site_fract_y
_atom_site_fract_z
Eu1 0.0000 0.0000 0.0000
P1 0.3333 0.6667 0.2500
Au1 0.3333 0.6667 0.7500
# * VASP energy: -7.24 eV/atom
# * DOS at the Fermi energy: 10.2 states/eV/f.u.

***

# EuPaAu2 | the Alexandria database | PBE | optimized geometry
data_EuPaAu2
_cell_length_a 3.3659
_cell_length_b 3.3659
_cell_length_c 31.7601
_cell_angle_alpha 90.00
_cell_angle_beta 90.00
_cell_angle_gamma 120.00
_symmetry_space_group_name_H-M 'R -3 m'
_symmetry_Int_Tables_number 166
_symmetry_space_group_name_Hall '-R 3 2"'
loop_
_atom_site_label
_atom_site_fract_x
_atom_site_fract_y
_atom_site_fract_z
Eu1 0.0000 0.0000 0.0000
Pa1 0.0000 0.0000 0.5000
Au1 0.0000 0.0000 0.4085
# * VASP energy: -6.42 eV/atom
# * distance to the lowest polymorph of the same formula: 606 meV/atom
# * DOS at the Fermi energy: 6.0 states/eV/f.u.

***

# EuPaAu2 | the Alexandria database | PBE | optimized geometry
data_EuPaAu2
_cell_length_a 7.324
_cell_length_b 7.324
_cell_length_c 7.324
_cell_angle_alpha 90.00
_cell_angle_beta 90.00
_cell_angle_gamma 90.00
_symmetry_space_group_name_H-M 'F m -3 m'
_symmetry_Int_Tables_number 225
_symmetry_space_group_name_Hall '-F 4 2 3'
loop_
_atom_site_label
_atom_site_fract_x
_atom_site_fract_y
_atom_site_fract_z
Eu1 0.000 0.000 0.000
Pa1 0.000 0.000 0.500
Au1 0.250 0.250 0.250
# * VASP energy: -6.95 eV/atom
# * distance to the lowest polymorph of the same formula: 75 meV/atom
# * DOS at the Fermi energy: 6.6 states/eV/f.u.